No. 1
Material: YAl2Sb
Method: DFT, PBE
State: relaxed

Computed properties:
Formation energy without anion corrections   -0.37 eV per atom
DOS at the Fermi energy   1.96 states/eV/cell
Final energy   -4.89 eV per atom

Unit cell a=4.514 b=4.510 c=4.352 alpha=90.00 beta=90.00 gamma=90.00
Element x y z (fractional)
1 Al 0.000 0.000 0.000
2 Sb 0.500 0.000 0.500
3 Al 0.500 0.500 0.000
4 Y 0.000 0.500 0.500

***

No. 2
Material: Tb2NdTc
Method: DFT, PBE
State: relaxed

Computed properties:
Energy relative to the elements   -0.193 eV per formula unit
E above lowest polymorph   0 meV/atom
DOS at the Fermi energy   14.10 states/eV/cell
Final energy   -6.15 eV per atom

Unit cell a=6.397 b=7.496 c=9.287 alpha=90.00 beta=90.00 gamma=90.00
Element x y z (fractional)
1 Tc 0.044 0.386 0.250
2 Tb 0.161 0.676 0.065
3 Tb 0.661 0.824 0.935
4 Tb 0.661 0.824 0.565
5 Nd 0.128 0.956 0.750
6 Tb 0.839 0.324 0.565
7 Tb 0.161 0.676 0.435
8 Tb 0.339 0.176 0.065
9 Tb 0.339 0.176 0.435
10 Nd 0.372 0.456 0.750
11 Tc 0.956 0.614 0.750
12 Tc 0.456 0.886 0.250
13 Tc 0.544 0.114 0.750
14 Nd 0.872 0.044 0.250
15 Tb 0.839 0.324 0.935
16 Nd 0.628 0.544 0.250

***

No. 3
Material: Dy5PuIr4
Method: DFT, PBE
State: relaxed

Computed properties:
Energy relative to the elements   -6.117 eV per formula unit
DOS at the Fermi energy   11.31 states/eV/cell
Final energy   -7.89 eV per atom

Unit cell a=4.206 b=7.348 c=9.315 alpha=113.30 beta=103.05 gamma=90.00
Last column: magnetic moment on the atom in μB.
Element x y z (fractional)
1 Dy 0.834 0.078 0.667  0.01
2 Ir 0.000 0.759 0.000  -0.15
3 Ir 0.000 0.241 0.000  -0.15
4 Dy 0.834 0.589 0.668  0.01
5 Pu 0.500 0.000 0.000  4.83
6 Dy 0.166 0.411 0.332  0.01
7 Dy 0.166 0.922 0.333  0.01
8 Ir 0.698 0.198 0.396  -0.02
9 Dy 0.500 0.500 0.000  -0.01
10 Ir 0.302 0.802 0.604  -0.02

***

No. 4
Material: TbNpAl2O8
Method: DFT, PBE
State: relaxed

Computed properties:
Formation energy without anion corrections   -2.78 eV per atom
Final energy   -8.17 eV per atom

Unit cell a=5.829 b=5.829 c=5.829 alpha=107.56 beta=107.56 gamma=113.36
Element x y z (fractional)
1 Np 0.250 0.750 0.500
2 O 0.947 0.270 0.323
3 Tb 0.000 0.000 0.000
4 O 0.877 0.680 0.197
5 Al 0.500 0.500 0.000
6 O 0.947 0.624 0.677
7 O 0.320 0.123 0.803
8 Al 0.750 0.250 0.500
9 O 0.320 0.518 0.197
10 O 0.482 0.680 0.803
11 O 0.730 0.053 0.677
12 O 0.376 0.053 0.323

***

| no. | M_tot (μB/f.u.) | ρ (g/cm³) |
| --- | --- | --- |
| 1 | 0.0 | 4.96 |
| 2 | 0.0 | 8.35 |
| 3 | 4.7 | 11.83 |
| 4 | 0.0 | 6.32 |